VASP calculation (PBE) on crystalline SrTbRu at its relaxed geometry.

Energy: -5.236 eV per atom
E_form: -0.04 eV/atom
Density: 6.1 g/cm³
D(E_F): 10.0 states/eV per cell

Lattice parameters (Å, degrees): 4.768 6.879 11.868 88.16 101.59 90.00
Sites, in units of the cell vectors:
Sr: 0.081 0.272 0.162
Sr: 0.423 0.231 0.846
Sr: 0.577 0.769 0.154
Sr: 0.919 0.728 0.838
Tb: 0.204 0.642 0.409
Tb: 0.776 0.847 0.552
Tb: 0.796 0.358 0.591
Tb: 0.224 0.153 0.448
Ru: 0.328 0.564 0.656
Ru: 0.672 0.078 0.344
Ru: 0.672 0.436 0.344
Ru: 0.328 0.922 0.656



VASP calculation (PBE) on crystalline SrTb2Ru at its relaxed geometry.

Energy: -5.024 eV per atom
Excess energy over the best structure of this formula in the dataset: 17.9 kJ per mole of atoms
E_form: 0.03 eV/atom
Density: 5.8 g/cm³
D(E_F): 2.6 states/eV per cell

Lattice parameters (Å, degrees): 3.949 3.949 10.961 79.62 79.62 60.00
Sites, in units of the cell vectors:
Ru: 0.500 0.500 0.500
Tb: 0.119 0.119 0.642
Tb: 0.881 0.881 0.358
Sr: 0.000 0.000 0.000



VASP calculation (PBE) on crystalline SrTb2Ru at its relaxed geometry.

Energy: -5.210 eV per atom
Excess energy over the best structure of this formula in the dataset: 0.0 kJ per mole of atoms
E_form: -0.16 eV/atom
Density: 6.9 g/cm³
D(E_F): 2.4 states/eV per cell

Lattice parameters (Å, degrees): 3.483 3.483 9.984 90.00 90.00 90.00
Sites, in units of the cell vectors:
Ru: 0.500 0.500 0.000
Tb: 0.000 0.000 0.837
Tb: 0.000 0.000 0.163
Sr: 0.500 0.500 0.500



VASP calculation (PBE) on crystalline SrTc2Ru at its relaxed geometry.

Energy: -6.947 eV per atom
Excess energy over the best structure of this formula in the dataset: 42.4 kJ per mole of atoms
E_form: 0.98 eV/atom
Density: 7.7 g/cm³
D(E_F): 5.2 states/eV per cell

Lattice parameters (Å, degrees): 7.566 7.566 6.077 51.50 51.50 90.00
Sites, in units of the cell vectors:
Ru: 0.000 0.000 0.000
Ru: 0.750 0.250 0.500
Tc: 0.693 0.125 0.250
Tc: 0.057 0.625 0.250
Tc: 0.375 0.307 0.750
Tc: 0.875 0.943 0.750
Sr: 0.500 0.500 0.000
Sr: 0.250 0.750 0.500